Below is a relaxed La3GaRh8 crystal, with properties calculated at the GGA-PBE level.

extended XYZ file:
```
12
Lattice="5.1785 0.0000 1.5360 2.3615 4.6087 1.5360 0.0468 0.0286 9.3400" Properties=species:S:1:pos:R:3 pbc="T T T"
Rh 1.6908 2.6145 8.5509
Rh 3.0979 0.3125 8.5509
Rh 6.1357 3.7504 7.8063
Rh 1.6458 2.5811 3.9490
Rh 0.4707 0.2877 3.1847
Rh 3.0476 0.2877 3.9490
Rh 2.3465 1.4343 1.5863
Rh 4.2774 2.6145 9.3181
La 3.7482 2.2911 6.3582
La 4.7096 2.8787 3.1169
La 0.1133 0.0693 9.1156
Ga 1.0538 0.6441 5.9447
```

Calculated values
The value obtained for the calculated formation energy is -547.4 meV/atom.